Density functional theory data (PBE) for a relaxed structure of Ta8MoW2.

It has space group C2/m (No. 12), with a = 14.199 Å, b = 5.393 Å, c = 5.346 Å, α = 90.00°, β = 103.22° and γ = 90.00°. Symmetry generates all atoms from Ta at (0.001, 0.000, 0.257), Ta at (0.106, 0.500, 0.553), Ta at (0.165, 0.247, 0.084), Mo at (0.000, 0.500, 0.000) and W at (0.193, 0.000, 0.569).

As for the total moment: 0.00 μB per formula unit. The distance to the lowest polymorph of the same formula comes out at 253.0 kJ/mol of formula units. The formation energy comes out at 0.153 eV per atom.